Record 1
PBE-GGA Pd2Rh3, optimized geometry; electronic total energy = -0.4749 Ry per atom; SG = No. 166
1.0
-1.9226 -0.1788 1.9516
-1.8649 -2.0128 -0.0906
5.5054 -7.2743 6.6882
Pd Rh
2 3
Cartesian
-0.5609 -1.4089 1.2493
2.2788 -8.0570 7.2998
3.4310 -5.2686 4.8283
0.8590 -4.7330 4.2746
-1.7131 -4.1974 3.7208

Record 2
PBE-GGA PdRh, optimized geometry; electronic total energy = -0.4556 Ry per atom; SG = No. 164
1.0
-0.6451 1.1931 -2.3902
-1.7305 -1.7995 1.1488
-4.0594 6.7561 4.4681
Pd Rh
2 2
Cartesian
-3.9235 3.4500 2.7811
-2.5115 2.6997 0.4456
-1.8509 0.0005 0.4998
-4.5841 6.1492 2.7268

Record 3
PBE-GGA PdRh2, optimized geometry; electronic total energy = -0.4837 Ry per atom; SG = No. 164
1.0
2.7373 0.0000 0.0000
-1.3687 2.3706 0.0000
0.0000 0.0000 6.7232
Pd Rh
1 2
Cartesian
0.0000 0.0000 0.0000
0.0000 1.5804 2.2785
1.3687 0.7902 4.4447

Record 4
PBE-GGA Pd8Rh, optimized geometry; electronic total energy = -0.3698 Ry per atom; SG = No. 139
1.0
2.5782 0.0000 0.6718
1.2891 7.5981 0.3359
-0.6267 0.0000 7.6884
Pd Rh
8 1
Cartesian
1.9272 0.0000 3.1700
0.0242 0.0000 5.1902
0.0315 2.6107 5.1621
1.2891 5.0164 0.3359
1.9199 2.6107 3.1982
2.5782 2.5816 0.6718
0.6308 4.9873 2.8623
1.3206 4.9873 5.4980
0.0000 0.0000 0.0000

Record 5
PBE-GGA Pd3Rh2, optimized geometry; electronic total energy = -0.4430 Ry per atom; SG = No. 166
1.0
2.7421 0.0000 0.3258
1.3517 2.3858 0.3258
0.0403 0.0235 11.3622
Pd Rh
3 2
Cartesian
0.4308 0.2511 8.0757
2.0670 1.2046 6.0070
3.7033 2.1582 3.9382
1.2391 0.7221 1.2732
2.8950 1.6871 10.7407

Record 6
PBE-GGA PdRh, optimized geometry; electronic total energy = -0.3846 Ry per atom; SG = No. 194
1.0
-0.1995 1.7870 -3.9360
1.0435 -4.1776 0.4292
-4.9374 -1.2666 -0.3248
Pd Rh
2 2
Cartesian
-3.0739 -3.1394 -1.2695
-1.0195 -0.5178 -2.5622
-0.6052 -2.5061 -1.1071
-3.4882 -1.1511 -2.7246

Record 7
PBE-GGA Pd3Rh, optimized geometry; electronic total energy = -0.4091 Ry per atom; SG = No. 225
1.0
4.4136 0.0000 0.0000
2.2068 3.8223 0.0000
2.2068 1.2741 3.6037
Rh Pd
1 3
Cartesian
4.4136 2.5482 1.8018
0.0000 0.0000 0.0000
6.6204 3.8223 2.7028
2.2068 1.2741 0.9009

Record 8
PBE-GGA Pd3Rh, optimized geometry; electronic total energy = -0.4141 Ry per atom; SG = No. 44
1.0
-0.7100 -1.9618 1.8184
-1.5116 -2.7983 -3.6091
5.2805 0.5601 0.5600
Rh Pd
1 3
Cartesian
-0.0026 -0.0049 -0.0063
1.6004 -1.8502 -1.3712
-1.1090 -2.3767 -0.8911
1.9632 -1.4154 1.3456

Record 9
PBE-GGA PdRh, optimized geometry; electronic total energy = -0.4426 Ry per atom; SG = No. 139
1.0
-2.5576 -7.5669 -0.9597
6.0168 -1.3794 -5.1589
2.2728 -1.1432 2.9564
Pd Rh
8 8
Cartesian
-0.8174 -2.4184 -0.3067
-1.7402 -5.1484 -0.6530
4.0938 -0.9385 -3.5101
1.9230 -0.4409 -1.6489
2.0486 -7.4631 -1.8878
3.6834 -2.6263 -1.2744
0.9430 -4.6038 0.0677
4.7890 -5.4856 -3.2300
1.1770 -3.0441 -2.0819
3.0993 -3.4847 -3.7301
0.3599 -5.4615 -2.3885
2.2822 -5.9022 -4.0367
4.0430 -8.0888 -3.6630
-0.0515 -7.1500 -0.1523
5.7835 -2.9394 -3.0100
1.6890 -2.0007 0.5008

Record 10
PBE-GGA PdRh3, optimized geometry; electronic total energy = -0.4923 Ry per atom; SG = No. 25
1.0
-2.0403 1.8436 0.0995
-2.2351 -2.3070 -3.0851
-2.1102 -2.5195 3.4128
Rh Pd
3 1
Cartesian
-2.1031 -2.5111 3.4014
-2.0828 -0.3470 1.7684
-3.8982 -2.3338 1.3547
-1.8184 -1.9903 -0.4091

Record 11
PBE-GGA PdRh, optimized geometry; electronic total energy = -0.3652 Ry per atom; SG = No. 216
1.0
-2.3350 0.4540 5.1804
2.4588 -4.9074 1.5384
4.5822 2.8647 1.8143
Pd Rh
4 4
Cartesian
0.0000 0.0000 0.0000
3.5205 -1.0214 1.6763
1.1236 1.6593 3.4973
0.0619 -2.2267 3.3594
1.1765 -0.3972 2.1333
4.6970 -1.4185 3.8096
2.3001 1.2622 5.6306
1.2384 -2.6239 5.4926

Record 12
PBE-GGA PdRh, optimized geometry; electronic total energy = -0.4572 Ry per atom; SG = No. 156
1.0
2.7503 0.0000 0.0000
-1.3752 2.3819 0.0000
0.0000 0.0000 9.0182
Pd Rh
2 2
Cartesian
1.3752 0.7939 2.0824
0.0000 0.0000 4.4115
0.0000 1.5879 8.8248
1.3752 0.7939 6.6787

Record 13
PBE-GGA PdRh, optimized geometry; electronic total energy = -0.3967 Ry per atom; SG = No. 176
1.0
-4.2414 -10.3807 1.8598
9.6884 3.1663 5.0314
-1.3613 0.9219 2.0411
Pd Rh
6 6
Cartesian
-0.9121 -7.8911 3.7971
5.1720 -2.2765 7.0016
2.1830 -4.9966 4.5540
4.9978 1.5986 5.1352
-1.0862 -4.0159 1.9308
1.9028 -1.2959 4.3784
-2.0648 -6.2880 2.3043
3.0597 -2.9239 5.8853
1.2234 -7.2470 4.9305
6.1506 -0.0044 6.6281
1.0261 -3.3685 3.0471
2.8623 0.9546 4.0019

Record 14
PBE-GGA Pd2RuRh, optimized geometry; electronic total energy = -0.4456 Ry per atom; SG = No. 122
1.0
6.9936 0.0000 0.0000
0.0000 6.9936 0.0000
3.4968 3.4968 2.6487
Ru Rh Pd
2 2 4
Cartesian
3.4968 3.4968 0.0000
3.4968 6.9936 1.3244
0.0000 0.0000 0.0000
6.9936 3.4968 1.3244
5.1784 1.7484 0.6622
1.8152 5.2452 0.6622
5.2452 5.3121 1.9866
8.7420 8.6752 1.9866

Record 15
PBE-GGA Pd2RuRh, optimized geometry; electronic total energy = -0.4918 Ry per atom; SG = No. 160
1.0
2.7295 0.0000 0.3716
1.3395 2.3783 0.3716
0.1540 0.0900 9.0798
Pd Ru Rh
2 1 1
Cartesian
3.4867 2.0379 5.0205
1.8167 1.0618 7.0771
1.0726 0.6269 2.3322
4.0672 2.3772 0.7563

Record 16
PBE-GGA PdRuRh, optimized geometry; electronic total energy = -0.5322 Ry per atom; SG = No. 129
1.0
2.7164 0.0000 0.0000
0.0000 2.7164 0.0000
0.0000 0.0000 11.7667
Pd Ru Rh
2 2 2
Cartesian
0.0000 1.3582 6.9239
1.3582 0.0000 4.8427
1.3582 0.0000 0.9573
0.0000 1.3582 10.8094
0.0000 1.3582 2.8118
1.3582 0.0000 8.9549

Record 17
PBE-GGA Pd2RuRh, optimized geometry; electronic total energy = -0.4816 Ry per atom; SG = No. 123
1.0
3.8968 0.0000 0.0000
0.0000 3.8781 0.0000
0.0000 0.0000 3.8781
Ru Rh Pd
1 1 2
Cartesian
1.9484 0.0000 0.0000
1.9484 1.9391 1.9391
0.0000 0.0000 1.9391
0.0000 1.9391 0.0000

Record 18
PBE-GGA PdRu2Rh2, optimized geometry; electronic total energy = -0.5310 Ry per atom; SG = No. 139
1.0
3.5415 0.0000 0.0000
0.0000 3.5415 0.0000
1.7707 1.7707 6.3008
Ru Rh Pd
2 2 1
Cartesian
3.5415 1.7707 3.1504
1.7707 3.5415 3.1504
1.7707 1.7707 1.2510
3.5415 3.5415 5.0498
0.0000 0.0000 0.0000

Record 19
PBE-GGA PdRuRh6, optimized geometry; electronic total energy = -0.5363 Ry per atom; SG = No. 123
1.0
3.8426 0.0000 0.0000
0.0000 3.8426 0.0000
0.0000 0.0000 7.7245
Pd Ru Rh
1 1 6
Cartesian
0.0000 0.0000 0.0000
0.0000 0.0000 3.8622
1.9213 1.9213 0.0000
1.9213 1.9213 3.8622
1.9213 0.0000 1.9822
1.9213 0.0000 5.7423
0.0000 1.9213 1.9822
0.0000 1.9213 5.7423

Record 20
PBE-GGA PdRu2Rh2, optimized geometry; electronic total energy = -0.5443 Ry per atom; SG = No. 127
1.0
7.4157 0.0000 0.0000
0.0000 7.4157 0.0000
0.0000 0.0000 2.7512
Ru Rh Pd
4 4 2
Cartesian
2.8130 6.5209 0.0000
6.5209 4.6027 0.0000
4.6027 0.8949 0.0000
0.8949 2.8130 0.0000
1.2858 4.9937 1.3756
4.9937 6.1299 1.3756
6.1299 2.4220 1.3756
2.4220 1.2858 1.3756
0.0000 0.0000 0.0000
3.7079 3.7079 0.0000

Number 1: ΔE_f 0.03 eV/atom. Number 2: ΔE_f 0.07 eV/atom. Number 3: ΔE_f 0.05 eV/atom. Number 4: ΔE_f 0.40 eV/atom. Number 5: ΔE_f 0.03 eV/atom. Number 6: ΔE_f 1.04 eV/atom. Number 7: ΔE_f 0.17 eV/atom. Number 8: ΔE_f 0.10 eV/atom. Number 9: ΔE_f 0.25 eV/atom. Number 10: ΔE_f 0.11 eV/atom. Number 11: ΔE_f 1.30 eV/atom. Number 12: ΔE_f 0.05 eV/atom. Number 13: ΔE_f 0.88 eV/atom. Number 14: ΔE_f 0.69 eV/atom. Number 15: ΔE_f 0.06 eV/atom. Number 16: ΔE_f 0.03 eV/atom. Number 17: ΔE_f 0.20 eV/atom. Number 18: ΔE_f 0.46 eV/atom. Number 19: ΔE_f 0.03 eV/atom. Number 20: ΔE_f 0.28 eV/atom.